Here is crystalline K2Mg5Sn3 at its relaxed geometry from Alexandria. Energies are from PBE-GGA.

The structure in POSCAR format:
```
K2Mg5Sn3
1.0
-4.6783 11.0008 -3.2357
-10.1182 7.0400 -1.1981
7.8024 -7.8779 5.5168
K Mg Sn
2 5 3
direct
0.8023 0.8023 0.0000 K
0.1977 0.1977 0.0000 K
0.4206 0.9206 0.5000 Mg
0.9206 0.4206 0.5000 Mg
0.5794 0.0794 0.5000 Mg
0.0794 0.5794 0.5000 Mg
0.5000 0.5000 0.0000 Mg
0.0000 0.0000 0.0000 Sn
0.3577 0.3577 0.0000 Sn
0.6423 0.6423 0.0000 Sn
```

Properties
**E_tot**: -2.438 eV per atom
**D(E_F)**: 3.5 states/eV per cell
**E_form**: -220 meV/atom

=====

Here is crystalline TbYSc3 at its relaxed geometry from Alexandria. Energies are from PBE-GGA.

The structure in POSCAR format:
```
TbYSc3
1.0
6.7654 0.0000 3.2146
2.6190 6.2379 3.2146
1.8688 1.2422 4.7934
Tb Y Sc
1 1 3
direct
0.4750 0.4750 0.5750 Tb
0.9750 0.9750 0.0750 Y
0.4750 0.9750 0.5750 Sc
0.9750 0.4750 0.5750 Sc
0.9750 0.9750 0.5750 Sc
```

Properties
**E_tot**: -5.275 eV per atom
**D(E_F)**: 7.2 states/eV per cell
**E_form**: 743 meV/atom

=====

Here is crystalline LiYTmSi at its relaxed geometry from Alexandria. Energies are from PBE-GGA.

The structure in POSCAR format:
```
LiYTmSi
1.0
4.9326 0.0000 0.0000
2.4663 4.2718 0.0000
2.4663 1.4239 4.0275
Y Si Tm Li
1 1 1 1
direct
0.5000 0.5000 0.5000 Y
0.7500 0.7500 0.7500 Si
0.0000 0.0000 0.0000 Tm
0.2500 0.2500 0.2500 Li
```

Properties
**E_tot**: -4.930 eV per atom
**D(E_F)**: 2.3 states/eV per cell

=====

Here is crystalline HoTmGePd at its relaxed geometry from Alexandria. Energies are from PBE-GGA.

The structure in POSCAR format:
```
HoTmGePd
1.0
-2.2926 3.8137 -2.2085
-4.9266 -0.0917 -0.6312
-2.9016 3.0310 2.6591
Ge Tm Ho Pd
1 1 1 1
direct
0.7500 0.7500 0.7500 Ge
0.0000 0.0000 0.0000 Tm
0.5000 0.5000 0.5000 Ho
0.2500 0.2500 0.2500 Pd
```

Properties
**E_tot**: -5.537 eV per atom
**D(E_F)**: 1.4 states/eV per cell
**E_form**: -822 meV/atom

=====

Here is crystalline Ca2MoOs at its relaxed geometry from Alexandria. Energies are from PBE-GGA.

The structure in POSCAR format:
```
Ca2MoOs
1.0
3.8696 0.0000 0.0000
0.0000 3.8696 0.0000
0.0000 0.0000 5.5957
Mo Os Ca
1 1 2
direct
0.5000 0.5000 0.2500 Mo
0.5000 0.5000 0.7500 Os
0.0000 0.0000 0.9919 Ca
0.0000 0.0000 0.5081 Ca
```

Properties
**E_tot**: -5.509 eV per atom
**D(E_F)**: 5.1 states/eV per cell
**E_form**: 1007 meV/atom

=====

Here is crystalline Zr3TaCo at its relaxed geometry from Alexandria. Energies are from PBE-GGA.

The structure in POSCAR format:
```
Zr3TaCo
1.0
5.0628 0.0000 0.0000
0.0000 5.0628 0.0000
0.0000 0.0000 5.0628
Co Zr Ta
1 3 1
direct
0.5000 0.5000 0.5000 Co
0.0000 0.5000 0.0000 Zr
0.0000 0.0000 0.5000 Zr
0.5000 0.0000 0.0000 Zr
0.0000 0.0000 0.0000 Ta
```

Properties
**E_tot**: -7.506 eV per atom
**D(E_F)**: 10.7 states/eV per cell
**E_form**: 1415 meV/atom

=====

Here is crystalline V4ReTc at its relaxed geometry from Alexandria. Energies are from PBE-GGA.

The structure in POSCAR format:
```
V4ReTc
1.0
4.8888 0.0000 0.0000
2.4444 4.2338 0.0000
2.4444 1.4113 3.9917
Re Tc V
1 1 4
direct
0.2500 0.2500 0.2500 Re
0.0000 0.0000 0.0000 Tc
0.6249 0.6249 0.1252 V
0.6249 0.1252 0.6249 V
0.6249 0.6249 0.6249 V
0.1252 0.6249 0.6249 V
```

Properties
**E_tot**: -9.873 eV per atom
**D(E_F)**: 11.2 states/eV per cell
**E_form**: 8 meV/atom

=====

Here is crystalline BaTc3Hg at its relaxed geometry from Alexandria. Energies are from PBE-GGA.

The structure in POSCAR format:
```
BaTc3Hg
1.0
5.0668 0.0000 0.0000
0.0000 5.0668 0.0000
0.0000 0.0000 5.0668
Tc Hg Ba
3 1 1
direct
0.0000 0.5000 0.0000 Tc
0.0000 0.0000 0.5000 Tc
0.5000 0.0000 0.0000 Tc
0.5000 0.5000 0.5000 Hg
0.0000 0.0000 0.0000 Ba
```

Properties
**E_tot**: -3.831 eV per atom
**D(E_F)**: 4.9 states/eV per cell
**E_form**: 2833 meV/atom

=====

Here is crystalline RbAlF4 at its relaxed geometry from Alexandria. Energies are from PBE-GGA.

The structure in POSCAR format:
```
RbAlF4
1.0
5.2071 0.0001 -0.0013
0.0001 5.2071 -0.0013
-2.6053 -2.6053 6.4018
Al Rb F
2 2 8
direct
0.5000 0.5000 0.0000 Al
0.0000 0.0000 0.0000 Al
0.2500 0.7500 0.5000 Rb
0.7500 0.2500 0.5000 Rb
0.6399 0.6393 0.2787 F
0.7131 0.7869 0.0000 F
0.8607 0.8601 0.7213 F
0.3601 0.3607 0.7213 F
0.7866 0.2866 0.9995 F
0.2869 0.2131 0.0000 F
0.2134 0.7134 0.0005 F
0.1393 0.1399 0.2787 F
```

Properties
**E_tot**: -5.391 eV per atom
**D(E_F)**: 0.0 states/eV per cell

=====

Here is crystalline Tm2Sb3 at its relaxed geometry from Alexandria. Energies are from PBE-GGA.

The structure in POSCAR format:
```
Tm2Sb3
1.0
-3.8043 -1.1033 2.6299
-0.9179 -4.1302 2.1691
3.1704 1.8811 7.5008
Tm Sb
2 3
direct
0.6507 0.6508 0.1961 Tm
0.3493 0.3492 0.8039 Tm
0.0000 0.0000 0.0000 Sb
0.3177 0.3177 0.3847 Sb
0.6823 0.6823 0.6153 Sb
```

Properties
**E_tot**: -4.893 eV per atom
**D(E_F)**: 1.9 states/eV per cell

=====

Here is crystalline PmTm2NpP4 at its relaxed geometry from Alexandria. Energies are from PBE-GGA.

The structure in POSCAR format:
```
PmTm2NpP4
1.0
-1.4121 -0.2076 3.7256
-6.2682 -1.6116 -2.4656
3.6069 -5.7923 1.0443
Pm Tm Np P
1 2 1 4
direct
0.5000 0.5000 0.0000 Pm
0.5000 0.0000 0.5000 Tm
0.0000 0.5000 0.5000 Tm
0.0000 0.0000 0.0000 Np
0.5000 0.2448 0.2526 P
0.5000 0.7552 0.7474 P
0.0000 0.2403 0.7442 P
0.0000 0.7597 0.2558 P
```

Properties
**E_tot**: -7.428 eV per atom
**D(E_F)**: 10.2 states/eV per cell
**E_form**: -1394 meV/atom

=====

Here is crystalline Rb2SrGaGe at its relaxed geometry from Alexandria. Energies are from PBE-GGA.

The structure in POSCAR format:
```
Rb2SrGaGe
1.0
7.3862 0.0000 0.0000
0.0000 5.6639 0.0000
0.0000 0.0000 7.3862
Sr Ge Ga Rb
1 1 1 2
direct
0.0000 0.0000 0.0000 Sr
0.0000 0.5000 0.0000 Ge
0.5000 0.5000 0.5000 Ga
0.0000 0.0000 0.5000 Rb
0.5000 0.0000 0.0000 Rb
```

Properties
**E_tot**: -1.625 eV per atom
**D(E_F)**: 2.5 states/eV per cell
**E_form**: 627 meV/atom

=====

Here is crystalline NaReSbI2 at its relaxed geometry from Alexandria. Energies are from PBE-GGA.

The structure in POSCAR format:
```
NaReSbI2
1.0
-2.9481 -5.6628 1.1454
2.0479 -1.9270 -4.2557
5.1573 -1.9998 3.3873
I Re Na Sb
2 1 1 1
direct
0.0000 0.0000 0.5000 I
0.5000 0.0000 0.0000 I
0.0000 0.5000 0.0000 Re
0.5000 0.5000 0.5000 Na
0.0000 0.0000 0.0000 Sb
```

Properties
**E_tot**: -3.501 eV per atom
**D(E_F)**: 2.5 states/eV per cell

=====

Here is crystalline RbCeS2F at its relaxed geometry from Alexandria. Energies are from PBE-GGA.

The structure in POSCAR format:
```
RbCeS2F
1.0
-0.7252 4.0632 0.1216
-3.1210 -0.3353 -7.4108
-6.8563 -1.3965 5.7755
Rb Ce S F
2 2 4 2
direct
0.2500 0.7127 0.3087 Rb
0.7500 0.2873 0.6913 Rb
0.2500 0.8143 0.8231 Ce
0.7500 0.1857 0.1769 Ce
0.7500 0.8365 0.6396 S
0.7500 0.8281 0.0320 S
0.2500 0.1635 0.3604 S
0.2500 0.1719 0.9680 S
0.2500 0.5345 0.7613 F
0.7500 0.4655 0.2387 F
```

Properties
**E_tot**: -5.616 eV per atom

=====

Here is crystalline Rb2TeS at its relaxed geometry from Alexandria. Energies are from PBE-GGA.

The structure in POSCAR format:
```
Rb2TeS
1.0
-1.9541 9.7260 6.9350
-11.8834 -2.2969 -0.1272
-6.6399 2.1453 5.6833
S Te Rb
2 2 4
direct
0.5000 0.5000 0.0000 S
0.2500 0.7500 0.5000 S
0.0000 0.0000 0.0000 Te
0.7500 0.2500 0.5000 Te
0.4348 0.1250 0.2500 Rb
0.3152 0.6250 0.2500 Rb
0.3750 0.5652 0.7500 Rb
0.8750 0.6848 0.7500 Rb
```

Properties
**E_tot**: -2.973 eV per atom
**D(E_F)**: 0.4 states/eV per cell

=====

Here is crystalline RbNaF2 at its relaxed geometry from Alexandria. Energies are from PBE-GGA.

The structure in POSCAR format:
```
RbNaF2
1.0
3.2569 0.0000 0.0000
0.0000 4.5519 0.0000
0.0000 0.0000 4.5519
Na Rb F
1 1 2
direct
0.5000 0.5000 0.5000 Na
0.5000 0.0000 0.0000 Rb
0.0000 0.0000 0.5000 F
0.0000 0.5000 0.0000 F
```

Properties
**E_tot**: -3.958 eV per atom
**D(E_F)**: 0.0 states/eV per cell

=====

Here is crystalline Ba6HPt at its relaxed geometry from Alexandria. Energies are from PBE-GGA.

The structure in POSCAR format:
```
Ba6HPt
1.0
-7.6724 0.0048 -1.0109
-3.5798 -6.4071 -2.4244
-4.6623 -4.2432 5.7861
Ba H Pt
6 1 1
direct
0.0982 0.4059 0.7499 Ba
0.7456 0.0971 0.7507 Ba
0.5943 0.2550 0.2495 Ba
0.2544 0.9029 0.2493 Ba
0.9018 0.5941 0.2501 Ba
0.4057 0.7450 0.7505 Ba
0.5000 0.5000 0.5000 H
0.0000 0.0000 0.0000 Pt
```

Properties
**E_tot**: -2.937 eV per atom
**D(E_F)**: 7.9 states/eV per cell

=====

Here is crystalline YBRu2 at its relaxed geometry from Alexandria. Energies are from PBE-GGA.

The structure in POSCAR format:
```
YBRu2
1.0
0.0000 3.0846 3.0846
3.0846 0.0000 3.0846
3.0846 3.0846 0.0000
Y Ru B
1 2 1
direct
0.5000 0.5000 0.5000 Y
0.2500 0.2500 0.2500 Ru
0.7500 0.7500 0.7500 Ru
0.0000 0.0000 0.0000 B
```

Properties
**E_tot**: -7.437 eV per atom
**D(E_F)**: 6.0 states/eV per cell
**E_form**: 486 meV/atom

=====

Here is crystalline Li3In6Cu at its relaxed geometry from Alexandria. Energies are from PBE-GGA.

The structure in POSCAR format:
```
Li3In6Cu
1.0
-7.5125 -1.1901 1.7124
1.2953 -6.4940 4.1153
0.3194 3.6485 6.8828
Li In Cu
6 12 2
direct
0.4620 0.7602 0.7744 Li
0.7602 0.7744 0.4620 Li
0.2256 0.5380 0.2398 Li
0.7744 0.4620 0.7602 Li
0.2398 0.2256 0.5380 Li
0.5380 0.2398 0.2256 Li
0.3219 0.9603 0.0668 In
0.0397 0.9332 0.6781 In
0.3839 0.8650 0.4330 In
0.9332 0.6781 0.0397 In
0.4330 0.3839 0.8650 In
0.1350 0.5670 0.6161 In
0.8650 0.4330 0.3839 In
0.5670 0.6161 0.1350 In
0.0668 0.3219 0.9603 In
0.6161 0.1350 0.5670 In
0.9603 0.0668 0.3219 In
0.6781 0.0397 0.9332 In
0.0000 0.0000 0.0000 Cu
0.5000 0.5000 0.5000 Cu
```

Properties
**E_tot**: -2.680 eV per atom
**D(E_F)**: 7.4 states/eV per cell
**E_form**: -53 meV/atom

=====

Here is crystalline Nd3Tm2Tl at its relaxed geometry from Alexandria. Energies are from PBE-GGA.

The structure in POSCAR format:
```
Nd3Tm2Tl
1.0
-1.0008 -4.7885 0.2356
2.2773 -0.2569 4.4520
-7.7408 1.6789 1.2406
Nd Tm Tl
3 2 1
direct
0.5000 0.1708 0.3415 Nd
0.5000 0.5000 0.0000 Nd
0.5000 0.8292 0.6585 Nd
0.0000 0.6641 0.3282 Tm
0.0000 0.3359 0.6718 Tm
0.0000 0.0000 0.0000 Tl
```

Properties
**E_tot**: -4.376 eV per atom
**D(E_F)**: 7.6 states/eV per cell
**E_form**: -107 meV/atom

=====

Here is crystalline LaZrCu at its relaxed geometry from Alexandria. Energies are from PBE-GGA.

The structure in POSCAR format:
```
LaZrCu
1.0
-0.9091 0.8147 -5.6425
-1.3234 -4.6913 -3.0676
-4.6632 2.9501 -1.6846
Zr Cu La
2 2 2
direct
0.5419 0.6546 0.8461 Zr
0.0439 0.0542 0.7447 Zr
0.0117 0.1322 0.2974 Cu
0.5190 0.1300 0.7915 Cu
0.8500 0.6920 0.1891 La
0.3479 0.4030 0.3996 La
```

Properties
**E_tot**: -5.835 eV per atom
**D(E_F)**: 4.9 states/eV per cell
**E_form**: 22 meV/atom